Compound: Ta2CuNi
Source: Alexandria via LeMat-Bulk
Functional: PBE
Structure: optimized geometry

Unit cell a=6.971 b=6.971 c=5.579 alpha=51.34 beta=51.34 gamma=90.00
Atoms (fractional coordinates):
Cu  0.000  0.000  0.000
Ta  0.375  0.398  0.750
Cu  0.750  0.250  0.500
Ni  0.500  0.500  0.000
Ta  0.875  0.852  0.750
Ta  0.148  0.625  0.250
Ta  0.602  0.125  0.250
Ni  0.250  0.750  0.500

Computed properties:
Energy of formation from the pure elements: 0.42 eV/atom
DOS(E_F): 1.13 states/eV/atom
Energy: -7.98 eV/atom